[1]
Li4TiNi3O8: relaxed, PBEsol.

Lattice parameters (Å, degrees): 5.727 5.727 5.775 91.48 118.82 119.20
Atoms (fractional coordinates):
Li 0.000 0.000 0.500
Li 0.500 0.500 0.500
Li 0.000 0.500 0.500
Li 0.500 0.000 0.500
Ti 0.000 0.000 0.000
O 0.997 0.746 0.229
O 0.003 0.254 0.771
O 0.460 0.742 0.203
O 0.989 0.759 0.748
O 0.483 0.232 0.229
O 0.011 0.241 0.252
O 0.540 0.258 0.797
O 0.517 0.768 0.771
Ni 0.500 0.000 0.000
Ni 0.000 0.500 0.000
Ni 0.500 0.500 0.000

Results
Crystal system: monoclinic
Formation energy from raw total energies, eV/atom: -1.706

[2]
Li5Ti2Ni5O12: relaxed, PBEsol.

Lattice parameters (Å, degrees): 4.927 5.010 9.623 85.25 80.31 60.55
Atoms (fractional coordinates):
O 0.293 0.176 0.381
O 0.711 0.823 0.120
O 0.210 0.817 0.622
O 0.627 0.502 0.382
O 0.973 0.817 0.378
O 0.768 0.188 0.879
O 0.531 0.176 0.619
O 0.044 0.188 0.121
O 0.466 0.823 0.880
O 0.393 0.491 0.120
O 0.116 0.491 0.880
O 0.870 0.502 0.618
Ni 0.006 0.504 0.243
Ni 0.916 0.167 0.500
Ni 0.490 0.504 0.757
Ni 0.582 0.835 0.500
Ni 0.419 0.162 0.000
Li 0.823 0.848 0.757
Li 0.329 0.848 0.243
Li 0.085 0.831 0.000
Li 0.681 0.150 0.241
Li 0.169 0.150 0.759
Ti 0.250 0.500 0.500
Ti 0.746 0.508 0.000

Results
Crystal system: monoclinic
Formation energy from raw total energies, eV/atom: -1.718

[3]
Li5Ti2Ni3O10: relaxed, PBEsol.

Lattice parameters (Å, degrees): 5.006 5.078 7.591 109.37 101.31 100.55
Atoms (fractional coordinates):
O 0.328 0.698 0.945
O 0.225 0.485 0.230
O 0.955 0.912 0.151
O 0.561 0.106 0.342
O 0.864 0.678 0.457
O 0.439 0.894 0.658
O 0.045 0.088 0.849
O 0.672 0.302 0.055
O 0.136 0.322 0.543
O 0.775 0.515 0.770
Ni 0.000 0.500 0.000
Ni 0.697 0.894 0.899
Ni 0.303 0.106 0.101
Li 0.781 0.096 0.601
Li 0.412 0.306 0.797
Li 0.219 0.904 0.399
Li 0.500 0.500 0.500
Li 0.588 0.694 0.203
Ti 0.892 0.285 0.303
Ti 0.108 0.715 0.697

Results
Crystal system: triclinic
Formation energy from raw total energies, eV/atom: -1.962

[4]
Li4Ti2Ni3O10: relaxed, PBEsol.

Lattice parameters (Å, degrees): 6.437 7.614 7.689 84.69 90.00 65.49
Atoms (fractional coordinates):
O 0.391 0.237 0.619
O 0.916 0.329 0.463
O 0.792 0.038 0.444
O 0.821 0.134 0.763
O 0.459 0.470 0.346
O 0.208 0.962 0.556
O 0.027 0.545 0.157
O 0.687 0.853 0.722
O 0.260 0.062 0.940
O 0.541 0.530 0.654
O 0.740 0.938 0.060
O 0.582 0.654 0.034
O 0.313 0.147 0.278
O 0.609 0.763 0.381
O 0.973 0.455 0.843
O 0.418 0.346 0.966
O 0.084 0.671 0.537
O 0.909 0.224 0.126
O 0.179 0.866 0.237
O 0.091 0.776 0.874
Li 0.892 0.801 0.301
Li 0.684 0.398 0.912
Li 0.316 0.602 0.088
Li 0.182 0.404 0.401
Li 0.750 0.488 0.245
Li 0.108 0.199 0.699
Li 0.818 0.596 0.599
Li 0.250 0.512 0.755
Ti 0.641 0.300 0.536
Ti 0.177 0.306 0.052
Ti 0.359 0.700 0.464
Ti 0.823 0.694 0.948
Ni 0.500 0.000 0.500
Ni 0.000 0.000 0.000
Ni 0.455 0.903 0.151
Ni 0.545 0.097 0.849
Ni 0.956 0.899 0.655
Ni 0.044 0.101 0.345

Results
Crystal system: triclinic
Formation energy from raw total energies, eV/atom: -1.904

[5]
Li6TiNi7O16: relaxed, PBEsol.

Lattice parameters (Å, degrees): 6.363 6.447 7.630 76.09 65.60 71.23
Atoms (fractional coordinates):
O 0.929 0.863 0.267
O 0.052 0.731 0.890
O 0.688 0.503 0.869
O 0.830 0.383 0.465
O 0.566 0.648 0.241
O 0.194 0.002 0.373
O 0.551 0.238 0.391
O 0.338 0.883 0.959
O 0.188 0.588 0.527
O 0.292 0.497 0.156
O 0.081 0.159 0.726
O 0.951 0.289 0.091
O 0.677 0.079 0.034
O 0.795 0.993 0.659
O 0.444 0.762 0.597
O 0.435 0.363 0.756
Li 0.945 0.551 0.194
Li 0.058 0.453 0.805
Li 0.455 0.050 0.685
Li 0.174 0.320 0.442
Li 0.560 0.933 0.312
Li 0.671 0.824 0.934
Ni 0.374 0.619 0.873
Ni 0.119 0.869 0.629
Ni 0.750 0.251 0.753
Ni 0.248 0.752 0.255
Ni 0.505 0.499 0.497
Ni 0.616 0.371 0.127
Ni 0.876 0.122 0.376
Ti 0.002 0.025 0.998

Results
Crystal system: triclinic
Formation energy from raw total energies, eV/atom: -1.412

[6]
Li4Ti2V3Ni3O16: relaxed, PBEsol.

Lattice parameters (Å, degrees): 5.726 5.744 9.481 90.38 90.13 119.82
Atoms (fractional coordinates):
O 0.163 0.826 0.404
O 0.484 0.974 0.665
O 0.684 0.369 0.396
O 0.661 0.826 0.403
O 0.822 0.150 0.901
O 0.329 0.153 0.903
O 0.341 0.689 0.903
O 0.828 0.665 0.898
O 0.493 0.532 0.664
O 0.033 0.528 0.666
O 0.167 0.336 0.410
O 0.990 0.981 0.201
O 0.524 0.050 0.155
O 0.972 0.503 0.153
O 0.528 0.503 0.154
O 0.996 0.985 0.697
V 0.818 0.639 0.266
V 0.648 0.795 0.790
V 0.181 0.821 0.771
Ni 0.170 0.341 0.793
Ni 0.834 0.178 0.290
Ni 0.342 0.177 0.291
Li 0.004 0.001 0.011
Li 0.340 0.684 0.107
Li 0.997 0.999 0.503
Li 0.667 0.335 0.595
Ti 0.335 0.668 0.492
Ti 0.648 0.295 0.009

Results
Crystal system: triclinic
Formation energy from raw total energies, eV/atom: -2.089